# Sm4ZnGe PBE relaxed
# N(E_F): 27.7 states/eV/cell
# VASP energy: -4.297 eV per atom
# Energy relative to the elements: -0.17 eV/atom
# Magnetization: 0.000 μB/atom
data_Sm4ZnGe
_space_group_name_H-M_alt 'C m c m'
_space_group_IT_number 63
_space_group_name_Hall '-C 2c 2'
_cell_length_a 5.329
_cell_length_b 21.128
_cell_length_c 6.326
_cell_angle_alpha 90.00
_cell_angle_beta 90.00
_cell_angle_gamma 90.00
loop_
_atom_site_label
_atom_site_fract_x
_atom_site_fract_y
_atom_site_fract_z
Sm1 0.000 0.060 0.250
Sm2 0.000 0.205 0.005
Sm3 0.000 0.385 0.250
Zn1 0.000 0.077 0.750
Ge1 0.000 0.342 0.750

***

# ZnWCl PBE relaxed
# N(E_F): 2.1 states/eV/cell
# VASP energy: -4.677 eV per atom
# E_form (uncorrected): 65.7 kJ per mole of atoms
# Magnetization: 0.000 μB/atom
data_ZnWCl
_space_group_name_H-M_alt 'P -6 m 2'
_space_group_IT_number 187
_space_group_name_Hall 'P -6 2'
_cell_length_a 4.4375
_cell_length_b 4.4375
_cell_length_c 2.7931
_cell_angle_alpha 90.00
_cell_angle_beta 90.00
_cell_angle_gamma 120.00
loop_
_atom_site_label
_atom_site_fract_x
_atom_site_fract_y
_atom_site_fract_z
Zn1 0.0000 0.0000 0.0000
W1 0.6667 0.3333 0.5000
Cl1 0.3333 0.6667 0.5000

***

# HoLuCuOs PBE relaxed
# N(E_F): 7.5 states/eV/cell
# VASP energy: -6.427 eV per atom
# Energy relative to the elements: -0.32 eV/atom
# Magnetization: 0.000 μB/atom
data_HoLuCuOs
_space_group_name_H-M_alt 'F -4 3 m'
_space_group_IT_number 216
_space_group_name_Hall 'F -4 2 3'
_cell_length_a 6.775
_cell_length_b 6.775
_cell_length_c 6.775
_cell_angle_alpha 90.00
_cell_angle_beta 90.00
_cell_angle_gamma 90.00
loop_
_atom_site_label
_atom_site_fract_x
_atom_site_fract_y
_atom_site_fract_z
Ho1 0.000 0.000 0.000
Lu1 0.000 0.000 0.500
Cu1 0.250 0.250 0.250
Os1 0.250 0.250 0.750

***

# Fe2NiHIr PBE relaxed
# N(E_F): 4.6 states/eV/cell
# VASP energy: -6.991 eV per atom
# Magnetization: 1.144 μB/atom
data_Fe2NiHIr
_space_group_name_H-M_alt 'P 4/m m m'
_space_group_IT_number 123
_space_group_name_Hall '-P 4 2'
_cell_length_a 3.728
_cell_length_b 3.728
_cell_length_c 3.661
_cell_angle_alpha 90.00
_cell_angle_beta 90.00
_cell_angle_gamma 90.00
loop_
_atom_site_label
_atom_site_fract_x
_atom_site_fract_y
_atom_site_fract_z
Fe1 0.000 0.500 0.000
Ni1 0.000 0.000 0.500
H1 0.000 0.000 0.000
Ir1 0.500 0.500 0.500

***

# ZnHOsRu2 PBE relaxed
# N(E_F): 5.3 states/eV/cell
# VASP energy: -4.349 eV per atom
# Magnetization: 1.304 μB/atom
data_ZnHOsRu2
_space_group_name_H-M_alt 'P 4/m m m'
_space_group_IT_number 123
_space_group_name_Hall '-P 4 2'
_cell_length_a 4.596
_cell_length_b 4.596
_cell_length_c 4.589
_cell_angle_alpha 90.00
_cell_angle_beta 90.00
_cell_angle_gamma 90.00
loop_
_atom_site_label
_atom_site_fract_x
_atom_site_fract_y
_atom_site_fract_z
Zn1 0.000 0.000 0.000
H1 0.500 0.500 0.500
Os1 0.000 0.000 0.500
Ru1 0.000 0.500 0.000

***

# TbSmEuY PBE relaxed
# N(E_F): 29.8 states/eV/cell
# VASP energy: -6.367 eV per atom
# Energy relative to the elements: 0.16 eV/atom
# Magnetization: 2.070 μB/atom
data_TbSmEuY
_space_group_name_H-M_alt 'F -4 3 m'
_space_group_IT_number 216
_space_group_name_Hall 'F -4 2 3'
_cell_length_a 8.193
_cell_length_b 8.193
_cell_length_c 8.193
_cell_angle_alpha 90.00
_cell_angle_beta 90.00
_cell_angle_gamma 90.00
loop_
_atom_site_label
_atom_site_fract_x
_atom_site_fract_y
_atom_site_fract_z
Tb1 0.000 0.000 0.000
Sm1 0.250 0.250 0.250
Eu1 0.000 0.000 0.500
Y1 0.250 0.250 0.750

***

# PmSmAlIn PBE relaxed
# N(E_F): 5.5 states/eV/cell
# VASP energy: -4.406 eV per atom
# Energy relative to the elements: -0.42 eV/atom
# Magnetization: 0.000 μB/atom
data_PmSmAlIn
_space_group_name_H-M_alt 'F -4 3 m'
_space_group_IT_number 216
_space_group_name_Hall 'F -4 2 3'
_cell_length_a 7.542
_cell_length_b 7.542
_cell_length_c 7.542
_cell_angle_alpha 90.00
_cell_angle_beta 90.00
_cell_angle_gamma 90.00
loop_
_atom_site_label
_atom_site_fract_x
_atom_site_fract_y
_atom_site_fract_z
Pm1 0.000 0.000 0.000
Sm1 0.000 0.000 0.500
Al1 0.250 0.250 0.750
In1 0.250 0.250 0.250